Entry 1:
Li2P2PbO7 (GGA-PBE, relaxed); crystal system = trigonal; energy relative to the elements, uncorrected = -2144 meV/atom; SG = R32
1.0
2.669 1.541 7.285
-2.669 1.541 7.285
0.000 -3.081 7.285
Li P Pb O
2 2 1 7
Direct
0.245 0.245 0.245
0.755 0.755 0.755
0.427 0.427 0.427
0.573 0.573 0.573
0.000 0.000 0.000
0.119 0.432 0.670
0.330 0.568 0.881
0.432 0.670 0.119
0.500 0.500 0.500
0.568 0.881 0.330
0.670 0.119 0.432
0.881 0.330 0.568

---

Entry 2:
BeV5Ru6 (GGA-PBE, relaxed); calculated formation energy = -3.9 eV/f.u.; crystal system = monoclinic; SG = C2/m
1.0
3.643 -6.321 0.000
3.643 6.321 0.000
-2.423 0.000 3.436
Be V Ru
1 5 6
Direct
0.000 0.000 0.000
0.166 0.834 0.500
0.335 0.665 0.000
0.500 0.500 0.500
0.665 0.335 0.000
0.834 0.166 0.500
0.081 0.410 0.246
0.243 0.243 0.743
0.410 0.081 0.246
0.590 0.919 0.754
0.757 0.757 0.257
0.919 0.590 0.754